The following is a PBE calculation of a relaxed Nd2H2Br5 crystal, from Alexandria via LeMat-Bulk.

POSCAR file:
```
Nd2H2Br5
1.0
5.299 -4.311 0.000
5.299 4.311 0.000
-2.659 0.000 7.495
Nd H Br
2 2 5
direct
0.230 0.230 0.001
0.770 0.770 0.999
0.015 0.015 0.059
0.985 0.985 0.941
0.065 0.566 0.261
0.434 0.935 0.739
0.500 0.500 0.000
0.566 0.065 0.261
0.935 0.434 0.739
```

Output
space group = C2/m, No. 12
crystal system = monoclinic

The following is a PBE calculation of a relaxed NdHBr3 crystal, from Alexandria via LeMat-Bulk.

POSCAR file:
```
NdHBr3
1.0
7.756 0.000 0.000
0.000 7.817 0.000
-4.243 0.000 12.849
Nd H Br
4 4 12
direct
0.000 0.250 0.083
0.000 0.250 0.417
0.000 0.750 0.583
0.000 0.750 0.917
0.051 0.203 0.760
0.051 0.797 0.260
0.949 0.203 0.740
0.949 0.797 0.240
0.250 0.005 0.041
0.250 0.252 0.295
0.250 0.493 0.551
0.250 0.507 0.051
0.250 0.748 0.795
0.250 0.995 0.541
0.750 0.005 0.459
0.750 0.252 0.205
0.750 0.493 0.949
0.750 0.507 0.449
0.750 0.748 0.705
0.750 0.995 0.959
```

Output
space group = P2/c, No. 13
crystal system = monoclinic

The following is a PBE calculation of a relaxed NdH2Br crystal, from Alexandria via LeMat-Bulk.

POSCAR file:
```
NdH2Br
1.0
3.930 0.000 0.000
-1.965 3.403 0.000
0.000 0.000 10.807
Nd H Br
2 4 2
direct
0.333 0.667 0.344
0.667 0.333 0.656
0.000 0.000 0.364
0.000 0.000 0.636
0.333 0.667 0.561
0.667 0.333 0.439
0.333 0.667 0.839
0.667 0.333 0.161
```

Output
energy relative to the lowest polymorph listed for this composition = 0.000 eV/atom
space group = P-3m1, No. 164
crystal system = trigonal

no.,uncorrected energy (eV per atom)
1,-3.976
2,-4.121
3,-4.356